1.
{"formula": "Ho2Fe2BrCl", "functional": "GGA-PBE", "state": "optimized geometry", "lattice": [[3.813, 0.000, 0.000], [-1.907, 3.302, 0.000], [0.000, 0.000, 11.131]], "species": ["Ho", "Ho", "Fe", "Fe", "Br", "Cl"], "fractional_positions": [[0.000, 0.000, 0.000], [0.000, 0.000, 0.355], [0.333, 0.667, 0.169], [0.667, 0.333, 0.186], [0.667, 0.333, 0.827], [0.333, 0.667, 0.510]], "m_tot_mub_per_fu": 1.5, "final_energy_ev_per_atom": -5.909, "sg": "P3m1, No. 156"}

=====

2.
{"formula": "Fe2PdBr2Cl6", "functional": "GGA-PBE", "state": "optimized geometry", "lattice": [[6.318, -4.202, 0.000], [6.318, 4.202, 0.000], [-0.855, 0.000, 6.615]], "species": ["Fe", "Fe", "Pd", "Br", "Br", "Cl", "Cl", "Cl", "Cl", "Cl", "Cl"], "fractional_positions": [[0.201, 0.201, 0.343], [0.799, 0.799, 0.657], [0.000, 0.000, 0.000], [0.376, 0.376, 0.295], [0.624, 0.624, 0.705], [0.092, 0.694, 0.834], [0.181, 0.181, 0.660], [0.306, 0.908, 0.166], [0.694, 0.092, 0.834], [0.819, 0.819, 0.340], [0.908, 0.306, 0.166]], "m_tot_mub_per_fu": 10.0, "final_energy_ev_per_atom": -3.886, "sg": "C2/m, No. 12"}

=====

3.
{"formula": "FeSe2BrCl", "functional": "GGA-PBE", "state": "optimized geometry", "lattice": [[6.631, 0.000, 0.000], [2.200, 6.821, 0.000], [1.695, 2.874, 6.382]], "species": ["Fe", "Fe", "Se", "Se", "Se", "Se", "Br", "Br", "Cl", "Cl"], "fractional_positions": [[0.164, 0.089, 0.026], [0.836, 0.911, 0.974], [0.078, 0.490, 0.744], [0.242, 0.360, 0.129], [0.758, 0.640, 0.871], [0.922, 0.510, 0.256], [0.407, 0.792, 0.253], [0.593, 0.208, 0.747], [0.163, 0.960, 0.782], [0.837, 0.040, 0.218]], "m_tot_mub_per_fu": 4.0, "final_energy_ev_per_atom": -4.069, "sg": "P-1, No. 2"}

=====

4.
{"formula": "Tm2Fe2BrCl", "functional": "GGA-PBE", "state": "optimized geometry", "lattice": [[3.787, 0.000, 0.000], [-1.893, 3.279, 0.000], [0.000, 0.000, 11.180]], "species": ["Tm", "Tm", "Fe", "Fe", "Br", "Cl"], "fractional_positions": [[0.000, 0.000, 0.000], [0.000, 0.000, 0.351], [0.333, 0.667, 0.167], [0.667, 0.333, 0.184], [0.667, 0.333, 0.829], [0.333, 0.667, 0.503]], "m_tot_mub_per_fu": 1.4, "final_energy_ev_per_atom": -5.882, "sg": "P3m1, No. 156"}